# 1
Here is a geometry-optimized CuSiHg2 structure from the Alexandria database. Energies are from PBE.

Cell and atoms, written as POSCAR:
```
CuSiHg2
1.0
3.018 0.000 0.000
0.000 3.018 0.000
0.000 0.000 8.324
Hg Si Cu
2 1 1
direct
0.000 0.000 0.525
0.000 0.000 0.975
0.500 0.500 0.250
0.500 0.500 0.750
```

=====

# 2
Here is a geometry-optimized Sr2LiCl6 structure from the Alexandria database. Energies are from PBE.

Cell and atoms, written as POSCAR:
```
Sr2LiCl6
1.0
-5.151 1.238 -4.064
2.852 -4.996 -5.136
-4.146 -6.819 4.330
Cl Sr Li
12 4 2
direct
0.629 0.482 0.265
0.841 0.686 0.554
0.189 0.347 0.061
0.689 0.153 0.561
0.129 0.018 0.765
0.811 0.653 0.939
0.871 0.982 0.235
0.159 0.314 0.446
0.659 0.186 0.946
0.341 0.814 0.054
0.311 0.847 0.439
0.371 0.518 0.735
0.464 0.124 0.254
0.964 0.376 0.754
0.536 0.876 0.746
0.036 0.624 0.246
0.500 0.500 0.000
0.000 0.000 0.500
```

=====

# 3
Here is a geometry-optimized U2AgSb4 structure from the Alexandria database. Energies are from PBE.

Cell and atoms, written as POSCAR:
```
U2AgSb4
1.0
4.320 0.000 0.000
0.000 4.320 0.000
0.000 0.000 9.949
Sb U Ag
4 2 1
direct
0.000 0.500 0.822
0.500 0.000 0.178
0.500 0.500 0.500
0.000 0.000 0.500
0.000 0.500 0.255
0.500 0.000 0.745
0.500 0.500 0.000
```

=====

So what do the calculations give for energy relative to the elements, uncorrected? Going down the list: 431 -1938 -205 meV/atom.